(1)
VASP calculation (PBE) on a relaxed BaInH2 crystal. Values from VASP.

Values from the calculation:
- relative energy among the computed polymorphs (meV/atom) = 274.0
- crystal system = tetragonal
- V (Å³ per cell) = 171.56
- final energy (Ry per atom) = -0.2107

Cell and atoms, written as Quantum ESPRESSO input:
```
&SYSTEM
  ibrav = 0, nat = 8, ntyp = 3
/
ATOMIC_SPECIES
Ba 137.33 Ba.upf
In 114.82 In.upf
H 1.01 H.upf
CELL_PARAMETERS angstrom
-4.9413 -1.5053 0.8975
0.8282 -4.3718 -2.7730
-0.2180 -5.8809 4.2501
ATOMIC_POSITIONS crystal
Ba 0.0000 0.0000 0.0000
Ba 0.7500 0.2500 0.5000
In 0.2500 0.7500 0.5000
In 0.5000 0.5000 0.0000
H 0.8750 0.8223 0.7500
H 0.5723 0.1250 0.2500
H 0.1777 0.6250 0.2500
H 0.3750 0.4277 0.7500
```

---

(2)
VASP calculation (PBE) on a relaxed Ba2InH crystal. Values from VASP.

Values from the calculation:
- relative energy among the computed polymorphs (meV/atom) = 73.7
- crystal system = tetragonal
- V (Å³ per cell) = 281.70
- final energy (Ry per atom) = -0.2023

Cell and atoms, written as Quantum ESPRESSO input:
```
&SYSTEM
  ibrav = 0, nat = 8, ntyp = 3
/
ATOMIC_SPECIES
H 1.01 H.upf
Ba 137.33 Ba.upf
In 114.82 In.upf
CELL_PARAMETERS angstrom
-4.5592 6.0798 -2.7468
-6.6119 -4.5613 0.8787
-6.0604 2.2240 3.0961
ATOMIC_POSITIONS crystal
H 0.5000 0.5000 0.0000
H 0.2500 0.7500 0.5000
Ba 0.3750 0.4692 0.7500
Ba 0.2192 0.6250 0.2500
Ba 0.8750 0.7808 0.7500
Ba 0.5308 0.1250 0.2500
In 0.0000 0.0000 0.0000
In 0.7500 0.2500 0.5000
```

---

(3)
VASP calculation (PBE) on a relaxed BaInH crystal. Values from VASP.

Values from the calculation:
- relative energy among the computed polymorphs (meV/atom) = 0.0
- crystal system = orthorhombic
- V (Å³ per cell) = 1008.87
- final energy (Ry per atom) = -0.2177

Cell and atoms, written as Quantum ESPRESSO input:
```
&SYSTEM
  ibrav = 0, nat = 36, ntyp = 3
/
ATOMIC_SPECIES
H 1.01 H.upf
In 114.82 In.upf
Ba 137.33 Ba.upf
CELL_PARAMETERS angstrom
-4.1916 1.9451 -8.3768
3.5517 -8.7010 1.7894
-11.3189 -3.6288 4.8212
ATOMIC_POSITIONS crystal
H 0.1320 0.6390 0.4498
H 0.6708 0.1813 0.3649
H 0.8680 0.3610 0.9498
H 0.6120 0.3880 0.2500
H 0.1381 0.8619 0.7500
H 0.3292 0.8187 0.8649
H 0.3880 0.6120 0.7500
H 0.1813 0.6708 0.6351
H 0.8187 0.3292 0.1351
H 0.8619 0.1381 0.2500
H 0.3610 0.8680 0.0502
H 0.6390 0.1320 0.5502
In 0.1706 0.6899 0.1153
In 0.3551 0.2816 0.1849
In 0.6023 0.3977 0.7500
In 0.3977 0.6023 0.2500
In 0.9153 0.0847 0.7500
In 0.3101 0.8294 0.3847
In 0.0847 0.9153 0.2500
In 0.6449 0.7184 0.6849
In 0.2816 0.3551 0.8151
In 0.8294 0.3101 0.6153
In 0.7184 0.6449 0.3151
In 0.6899 0.1706 0.8847
Ba 0.7341 0.5048 0.0501
Ba 0.2447 0.0147 0.9339
Ba 0.0564 0.5679 0.8158
Ba 0.5048 0.7341 0.9499
Ba 0.4952 0.2659 0.4499
Ba 0.4321 0.9436 0.6842
Ba 0.2659 0.4952 0.5501
Ba 0.5679 0.0564 0.1842
Ba 0.0147 0.2447 0.0661
Ba 0.9436 0.4321 0.3157
Ba 0.7553 0.9853 0.4339
Ba 0.9853 0.7553 0.5661
```

---

(4)
VASP calculation (PBE) on a relaxed Ba12InH6 crystal. Values from VASP.

Values from the calculation:
- crystal system = trigonal
- V (Å³ per cell) = 704.48
- final energy (Ry per atom) = -0.1929

Cell and atoms, written as Quantum ESPRESSO input:
```
&SYSTEM
  ibrav = 0, nat = 19, ntyp = 3
/
ATOMIC_SPECIES
Ba 137.33 Ba.upf
H 1.01 H.upf
In 114.82 In.upf
CELL_PARAMETERS angstrom
2.3590 8.7793 -1.6377
-1.7940 -0.9546 9.6652
8.0914 2.0502 5.2793
ATOMIC_POSITIONS crystal
Ba 0.3170 0.1342 0.1582
Ba 0.8172 0.2925 0.8658
Ba 0.4752 0.1582 0.7075
Ba 0.5248 0.8418 0.2925
Ba 0.1828 0.7075 0.1342
Ba 0.8490 0.1781 0.3218
Ba 0.1708 0.3218 0.5001
Ba 0.1510 0.8219 0.6782
Ba 0.6830 0.8658 0.8418
Ba 0.3291 0.4999 0.8219
Ba 0.6709 0.5001 0.1781
Ba 0.8292 0.6782 0.4999
H 0.5596 0.3699 0.8105
H 0.8103 0.1804 0.6301
H 0.6299 0.1895 0.1804
H 0.3701 0.8105 0.8196
H 0.4404 0.6301 0.1895
H 0.1897 0.8196 0.3699
In 0.0000 0.0000 0.0000
```

---

(5)
VASP calculation (PBE) on a relaxed Ba2InH6Ir crystal. Values from VASP.

Values from the calculation:
- crystal system = trigonal
- V (Å³ per cell) = 182.09
- final energy (Ry per atom) = -0.2939

Cell and atoms, written as Quantum ESPRESSO input:
```
&SYSTEM
  ibrav = 0, nat = 10, ntyp = 4
/
ATOMIC_SPECIES
Ba 137.33 Ba.upf
Ir 192.22 Ir.upf
H 1.01 H.upf
In 114.82 In.upf
CELL_PARAMETERS angstrom
-4.9753 4.6751 3.1740
1.4847 -1.6710 4.7886
2.4428 4.1180 -2.2365
ATOMIC_POSITIONS crystal
Ba 0.7886 0.6667 0.3333
Ba 0.2114 0.3333 0.6667
Ir 0.0000 0.0000 0.0000
H 0.8750 0.6934 0.8467
H 0.8750 0.1533 0.3066
H 0.8750 0.1533 0.8467
H 0.1250 0.3066 0.1533
H 0.1250 0.8467 0.1533
H 0.1250 0.8467 0.6934
In 0.5000 0.0000 0.0000
```

---

(6)
VASP calculation (PBE) on a relaxed BaIn2HIr crystal. Values from VASP.

Values from the calculation:
- crystal system = tetragonal
- V (Å³ per cell) = 115.54
- final energy (Ry per atom) = -0.2863

Cell and atoms, written as Quantum ESPRESSO input:
```
&SYSTEM
  ibrav = 0, nat = 5, ntyp = 4
/
ATOMIC_SPECIES
In 114.82 In.upf
Ir 192.22 Ir.upf
Ba 137.33 Ba.upf
H 1.01 H.upf
CELL_PARAMETERS angstrom
-4.0282 1.1503 -3.3236
0.7571 -3.3764 -2.0861
-3.3713 -2.7026 3.1507
ATOMIC_POSITIONS crystal
In 0.5000 0.0000 0.0000
In 0.0000 0.0000 0.5000
Ir 0.0000 0.0000 0.0000
Ba 0.5000 0.5000 0.5000
H 0.0000 0.5000 0.0000
```

---

(7)
VASP calculation (PBE) on a relaxed K2BaInH crystal. Values from VASP.

Values from the calculation:
- crystal system = tetragonal
- V (Å³ per cell) = 174.58
- final energy (Ry per atom) = -0.1595

Cell and atoms, written as Quantum ESPRESSO input:
```
&SYSTEM
  ibrav = 0, nat = 5, ntyp = 4
/
ATOMIC_SPECIES
K 39.10 K.upf
In 114.82 In.upf
H 1.01 H.upf
Ba 137.33 Ba.upf
CELL_PARAMETERS angstrom
-2.0888 5.0579 0.3091
-1.9119 -0.4770 -5.1145
-4.9758 -2.1810 2.0635
ATOMIC_POSITIONS crystal
K 0.5000 0.0000 0.0000
K 0.0000 0.5000 0.0000
In 0.5000 0.5000 0.5000
H 0.0000 0.0000 0.0000
Ba 0.0000 0.0000 0.5000
```

---

(8)
VASP calculation (PBE) on a relaxed KBaInH6 crystal. Values from VASP.

Values from the calculation:
- crystal system = trigonal
- V (Å³ per cell) = 161.85
- final energy (Ry per atom) = -0.2163

Cell and atoms, written as Quantum ESPRESSO input:
```
&SYSTEM
  ibrav = 0, nat = 9, ntyp = 4
/
ATOMIC_SPECIES
H 1.01 H.upf
In 114.82 In.upf
Ba 137.33 Ba.upf
K 39.10 K.upf
CELL_PARAMETERS angstrom
6.0252 0.0003 -0.0001
3.0129 5.2178 0.0001
0.0001 -0.0002 5.1484
ATOMIC_POSITIONS crystal
H 0.3249 0.0701 0.7198
H 0.6050 0.0700 0.2803
H 0.0701 0.3249 0.2802
H 0.6049 0.3250 0.7198
H 0.0700 0.6051 0.7197
H 0.3249 0.6050 0.2802
In 0.3333 0.3333 0.5000
Ba 0.0000 0.0000 0.0000
K 0.6666 0.6667 0.5000
```

---

(9)
VASP calculation (PBE) on a relaxed BaLa2InH crystal. Values from VASP.

Values from the calculation:
- crystal system = tetragonal
- V (Å³ per cell) = 145.83
- final energy (Ry per atom) = -0.2801

Cell and atoms, written as Quantum ESPRESSO input:
```
&SYSTEM
  ibrav = 0, nat = 5, ntyp = 4
/
ATOMIC_SPECIES
H 1.01 H.upf
La 138.91 La.upf
In 114.82 In.upf
Ba 137.33 Ba.upf
CELL_PARAMETERS angstrom
-1.1669 -4.9687 1.2555
4.7501 -0.5653 2.1779
-1.9321 1.6252 4.6360
ATOMIC_POSITIONS crystal
H 0.0000 0.0000 0.0000
La 0.0000 0.5000 0.0000
La 0.5000 0.0000 0.0000
In 0.5000 0.5000 0.5000
Ba 0.0000 0.0000 0.5000
```

---

(10)
VASP calculation (PBE) on a relaxed BaLiInH6 crystal. Values from VASP.

Values from the calculation:
- crystal system = trigonal
- V (Å³ per cell) = 126.68
- final energy (Ry per atom) = -0.2283

Cell and atoms, written as Quantum ESPRESSO input:
```
&SYSTEM
  ibrav = 0, nat = 9, ntyp = 4
/
ATOMIC_SPECIES
Ba 137.33 Ba.upf
H 1.01 H.upf
Li 6.94 Li.upf
In 114.82 In.upf
CELL_PARAMETERS angstrom
5.1711 0.0009 0.0003
2.5864 4.4779 -0.0003
0.0005 -0.0009 5.4713
ATOMIC_POSITIONS crystal
Ba 0.9999 0.0000 0.0000
H 0.3886 0.6086 0.2927
H 0.0029 0.3883 0.2927
H 0.6090 0.0026 0.2929
H 0.6086 0.3886 0.7073
H 0.3883 0.0029 0.7073
H 0.0026 0.6090 0.7071
Li 0.6666 0.6667 0.5000
In 0.3333 0.3333 0.5000
```

---

(11)
VASP calculation (PBE) on a relaxed Ba2LiInH crystal. Values from VASP.

Values from the calculation:
- relative energy among the computed polymorphs (meV/atom) = 142.3
- crystal system = tetragonal
- V (Å³ per cell) = 153.63
- final energy (Ry per atom) = -0.1887

Cell and atoms, written as Quantum ESPRESSO input:
```
&SYSTEM
  ibrav = 0, nat = 5, ntyp = 4
/
ATOMIC_SPECIES
Li 6.94 Li.upf
H 1.01 H.upf
Ba 137.33 Ba.upf
In 114.82 In.upf
CELL_PARAMETERS angstrom
5.6863 0.0000 0.0000
0.0000 5.6863 0.0000
0.0000 0.0000 4.7516
ATOMIC_POSITIONS crystal
Li 0.5000 0.5000 0.5000
H 0.0000 0.0000 0.0000
Ba 0.0000 0.5000 0.0000
Ba 0.5000 0.0000 0.0000
In 0.0000 0.0000 0.5000
```

---

(12)
VASP calculation (PBE) on a relaxed Ba2LiInH crystal. Values from VASP.

Values from the calculation:
- relative energy among the computed polymorphs (meV/atom) = 0.0
- crystal system = tetragonal
- V (Å³ per cell) = 149.56
- final energy (Ry per atom) = -0.1992

Cell and atoms, written as Quantum ESPRESSO input:
```
&SYSTEM
  ibrav = 0, nat = 5, ntyp = 4
/
ATOMIC_SPECIES
Ba 137.33 Ba.upf
Li 6.94 Li.upf
In 114.82 In.upf
H 1.01 H.upf
CELL_PARAMETERS angstrom
5.8498 0.0000 0.0000
0.0000 5.8498 0.0000
0.0000 0.0000 4.3705
ATOMIC_POSITIONS crystal
Ba 0.0000 0.5000 0.0000
Ba 0.5000 0.0000 0.0000
Li 0.0000 0.0000 0.5000
In 0.5000 0.5000 0.5000
H 0.0000 0.0000 0.0000
```